1.
10
Lattice="-1.9054 5.5418 -3.0041 -5.8302 -0.3559 3.0413 1.7121 2.5282 3.5779" Properties=species:S:1:pos:R:3 comment="Ca2Ru2Rh | Alexandria via LeMat-Bulk | PBE | relaxed" n_ef_per_ev_atom=1.20 e_form_mev_per_atom=103 dft_energy_ev_per_atom=-5.878 pbc="T T T"
Ru -5.8272 1.7743 1.5346
Ru -5.3054 4.6352 -0.7366
Ru -1.9084 3.4116 -1.4975
Ru -2.4302 0.5507 0.7738
Ca -3.4605 2.0257 3.3163
Ca -5.2158 4.7476 2.2329
Ca -2.5630 5.6884 0.2988
Ca -0.8077 2.9665 1.3822
Rh 0.0000 0.0000 0.0000
Rh -3.8678 2.5930 0.0186

***

2.
4
Lattice="-3.7663 -2.2506 0.7224 1.9243 -3.3089 -0.2761 0.6773 0.0787 3.7766" Properties=species:S:1:pos:R:3 comment="CaRu2Rh | Alexandria via LeMat-Bulk | PBE | relaxed" n_ef_per_ev_atom=1.71 de_polymorph_mev_per_atom=208 e_form_mev_per_atom=387 dft_energy_ev_per_atom=-6.589 pbc="T T T"
Ru 0.0000 0.0000 0.0000
Ru 1.3008 -1.6151 1.7502
Ca -0.9210 -2.7797 0.2231
Rh -1.5445 -1.0860 2.2495

***

3.
4
Lattice="5.0778 0.0084 0.0000 2.0574 4.6424 0.0000 -3.5676 -2.3254 2.7657" Properties=species:S:1:pos:R:3 comment="CaRu2Rh | Alexandria via LeMat-Bulk | PBE | relaxed" n_ef_per_ev_atom=1.37 de_polymorph_mev_per_atom=207 e_form_mev_per_atom=386 dft_energy_ev_per_atom=-6.590 pbc="T T T"
Ru 0.0000 0.0000 0.0000
Ru 3.5676 2.3254 0.0000
Ca 1.0287 2.3212 1.3829
Rh 2.5389 0.0042 1.3829

***

4.
4
Lattice="4.8353 0.0170 -0.0259 4.0031 2.7122 -0.0259 0.9146 0.2824 5.1406" Properties=species:S:1:pos:R:3 comment="CaRu2Rh | Alexandria via LeMat-Bulk | PBE | relaxed" n_ef_per_ev_atom=1.26 de_polymorph_mev_per_atom=62 e_form_mev_per_atom=241 dft_energy_ev_per_atom=-6.735 pbc="T T T"
Ru 9.7231 3.0024 4.9421
Ru 7.2484 2.2382 4.1756
Ca 4.8774 1.5061 2.4508
Rh 2.5345 0.7826 1.1533